1.
Entry from Alexandria: an optimized crystal structure of YMgTc (PBE).

Output
The value obtained for the energy above the most stable polymorph in this dataset is 536 meV/atom. The calculation puts the density of states at the Fermi level at 1.49 states/eV/atom. The energy of formation from the pure elements comes out at 0.5550 eV per atom.

```
3
Lattice="0.0000 3.2968 3.2968 3.2968 0.0000 3.2968 3.2968 3.2968 0.0000" Properties=species:S:1:pos:R:3 pbc="T T T"
Y 0.0000 0.0000 0.0000
Mg 3.2968 3.2968 3.2968
Tc 1.6484 1.6484 1.6484
```



2.
Entry from Alexandria: an optimized crystal structure of YMg2Tc (PBE).

Output
The value obtained for the energy above the most stable polymorph in this dataset is 201 meV/atom. The calculation puts the density of states at the Fermi level at 0.82 states/eV/atom. The energy of formation from the pure elements comes out at 0.2880 eV per atom.

```
4
Lattice="2.8200 -5.2165 0.0000 2.8200 5.2165 0.0000 -1.1771 0.0000 2.8347" Properties=species:S:1:pos:R:3 pbc="T T T"
Y 0.0000 0.0000 0.0000
Mg 0.8215 2.6082 1.4173
Mg 0.8215 -2.6082 1.4173
Tc 2.8200 0.0000 0.0000
```



Which formula does entry 1 have? YMgTc



Among the records above, which one has the highest energy above the most stable polymorph in this dataset? YMgTc



Please write out number 2 again, unchanged.
Entry from Alexandria: an optimized crystal structure of YMg2Tc (PBE).

Output
The value obtained for the energy above the most stable polymorph in this dataset is 201 meV/atom. The calculation puts the density of states at the Fermi level at 0.82 states/eV/atom. The energy of formation from the pure elements comes out at 0.2880 eV per atom.

```
4
Lattice="2.8200 -5.2165 0.0000 2.8200 5.2165 0.0000 -1.1771 0.0000 2.8347" Properties=species:S:1:pos:R:3 pbc="T T T"
Y 0.0000 0.0000 0.0000
Mg 0.8215 2.6082 1.4173
Mg 0.8215 -2.6082 1.4173
Tc 2.8200 0.0000 0.0000
```



Which value of energy above the most stable polymorph in this dataset does entry 1 give? 536 meV/atom